Compound: Zr3BP
Source: Alexandria
Functional: PBE-GGA
Structure: relaxed

Cell lengths 9.737, 9.737, 5.299 Å; angles 97.96, 97.96, 20.03 degrees
Positions (direct):
Zr 0.000 0.000 0.247
Zr 0.000 0.000 0.753
Zr 0.193 0.193 0.603
Zr 0.362 0.362 0.930
Zr 0.638 0.638 0.070
Zr 0.807 0.807 0.397
B 0.239 0.239 0.075
B 0.761 0.761 0.925
P 0.412 0.412 0.458
P 0.588 0.588 0.542

Results
Fermi-level density of states ... 5.458 states/eV per cell
Excess energy over the best structure of this formula in the dataset ... 0.000 eV per atom
ΔH_f (0 K) ... -803 meV per atom
Density ... 6.15 Mg/m³
Symmetry ... No. 12

---

Compound: LaTbNdEr
Source: Alexandria
Functional: PBE-GGA
Structure: relaxed

Cell lengths 6.271, 6.271, 6.271 Å; angles 131.56, 131.56, 70.92 degrees
Positions (direct):
La 0.000 0.000 0.000
Tb 0.500 0.500 0.000
Nd 0.250 0.750 0.500
Er 0.750 0.250 0.500

Results
Fermi-level density of states ... 6.447 states/eV per cell
Excess energy over the best structure of this formula in the dataset ... 0.000 eV per atom
ΔH_f (0 K) ... 29 meV per atom
Density ... 7.48 Mg/m³
Symmetry ... No. 119

---

Question: The lowest density belongs to which entry?
Answer: Zr3BP